[1]
This record from Alexandria describes a relaxed structure of Cs2KNbSe4. The functional is PBE.

## Properties
For the density, the calculation gives 3.21 g cm⁻³. As for the space group: No. 70. The uncorrected formation energy comes out at -1.031 eV/atom.

a = 7.4957 Å, b = 8.1237 Å, c = 14.1568 Å
α = 82.98°, β = 74.65°, γ = 62.53°
With the nearest neighbours (Å) after each atom.
Positions (direct):
Cs 0.1872 0.0000 0.6256  4 Se 3.83-3.90
Cs 0.8128 0.0000 0.3744  4 Se 3.83-3.90
Cs 0.5628 0.5000 0.8744  4 Se 3.83-3.90
Cs 0.9372 0.5000 0.1256  4 Se 3.83-3.90
K 0.7500 0.5000 0.5000  4 Se 3.13
K 0.0000 0.0000 0.0000  4 Se 3.13
Nb 0.2500 0.5000 0.5000  4 Se 2.43
Nb 0.5000 0.0000 0.0000  4 Se 2.43
Se 0.3681 0.7988 0.1029  1 Nb 2.43
Se 0.2698 0.2012 0.8971  1 Nb 2.43
Se 0.8331 0.7988 0.8971  1 Nb 2.43
Se 0.5290 0.2012 0.1029  1 Nb 2.43
Se 0.3819 0.7012 0.3971  1 Nb 2.43
Se 0.4802 0.2988 0.6029  1 Nb 2.43
Se 0.9169 0.7012 0.6029  1 Nb 2.43
Se 0.2210 0.2988 0.3971  1 Nb 2.43

=====

[2]
This record from Alexandria describes a relaxed structure of Tb2CeNd. The functional is PBE.

## Properties
For the density, the calculation gives 7.60 g cm⁻³. The calculation puts the distance to the lowest polymorph of the same formula at 120.4 meV/atom. As for the space group: No. 225. For the formation enthalpy at 0 K, the calculation gives 0.180 eV per atom.

a = 5.7082 Å, b = 5.7082 Å, c = 5.7082 Å
α = 60.00°, β = 60.00°, γ = 60.00°
With the nearest neighbours (Å) after each atom.
Positions (direct):
Nd 0.5000 0.5000 0.5000  8 Tb 3.50
Tb 0.2500 0.2500 0.2500  4 Ce 3.50, 4 Nd 3.50
Tb 0.7500 0.7500 0.7500  4 Ce 3.50, 4 Nd 3.50
Ce 0.0000 0.0000 0.0000  8 Tb 3.50

=====

[3]
This record from Alexandria describes a relaxed structure of TePAu2. The functional is PBE.

## Properties
For the density, the calculation gives 10.44 g cm⁻³. The calculation puts the distance to the lowest polymorph of the same formula at 345.8 meV/atom. As for the space group: No. 65. The uncorrected formation energy comes out at 0.405 eV/atom.

a = 3.5370 Å, b = 3.5370 Å, c = 7.9685 Å
α = 90.00°, β = 90.00°, γ = 118.19°
With the nearest neighbours (Å) after each atom.
Positions (direct):
Te 0.5000 0.5000 0.0000  4 Au 2.88
P 0.5000 0.5000 0.5000  4 Au 2.52
Au 0.0000 0.0000 0.2803  2 P 2.52
Au 0.0000 0.0000 0.7197  2 P 2.52

=====

Number 1: total moment 0.000 μB/cell. Number 2: total moment 1.032 μB/cell. Number 3: total moment 0.000 μB/cell.